1.
Entry from Alexandria: Co2Ni2W after structural relaxation (PBE).

Cell: 9.0861 2.5630 5.8144 Å, 90.00 101.98 90.00°
Element x y z (fractional)
Co1 0.0846 0.0000 0.1733
Co2 0.4154 0.5000 0.8267
Co3 0.5846 0.5000 0.1733
Co4 0.9154 0.0000 0.8267
Ni1 0.1902 0.0000 0.8132
Ni2 0.3098 0.5000 0.1868
Ni3 0.6902 0.5000 0.8132
Ni4 0.8098 0.0000 0.1868
W1 0.0000 0.5000 0.5000
W2 0.5000 0.0000 0.5000

The space group is C2/m (12). The calculation puts the total magnetic moment at 5.9 μB per cell. The formation energy from the elements comes out at 207 kJ/mol of formula units.



2.
Entry from Alexandria: BeGePd2 after structural relaxation (PBE).

Cell: 3.8710 3.8710 16.3223 Å, 90.00 90.00 90.00°
Element x y z (fractional)
Be1 0.0000 0.0000 0.0000
Be2 0.0000 0.5000 0.2500
Be3 0.5000 0.0000 0.7500
Be4 0.5000 0.5000 0.5000
Ge1 0.0000 0.0000 0.5000
Ge2 0.0000 0.5000 0.7500
Ge3 0.5000 0.0000 0.2500
Ge4 0.5000 0.5000 0.0000
Pd1 0.2391 0.2500 0.1250
Pd2 0.2500 0.7391 0.3750
Pd3 0.2500 0.7609 0.8750
Pd4 0.2609 0.2500 0.6250
Pd5 0.7391 0.7500 0.6250
Pd6 0.7500 0.2391 0.8750
Pd7 0.7500 0.2609 0.3750
Pd8 0.7609 0.7500 0.1250

The space group is I-42d (122). The calculation puts the total magnetic moment at 0.0 μB per cell. The formation energy from the elements comes out at -31 kJ/mol of formula units.



3.
Entry from Alexandria: MnSbS3 after structural relaxation (PBE).

Cell: 9.3455 9.3455 7.1810 Å, 111.60 111.60 23.06°
Element x y z (fractional)
Mn1 0.1704 0.1704 0.0028
Mn2 0.8296 0.8296 0.9972
Sb1 0.4306 0.4306 0.6171
Sb2 0.5694 0.5694 0.3829
S1 0.0364 0.0364 0.8094
S2 0.1593 0.1593 0.3234
S3 0.3092 0.3092 0.1709
S4 0.6908 0.6908 0.8291
S5 0.8407 0.8407 0.6766
S6 0.9636 0.9636 0.1906

The uncorrected formation energy comes out at -0.251 eV/atom. The space group is C2/m (12). The calculation puts the total magnetic moment at 7.9 μB per cell.



4.
Entry from Alexandria: Ba6NaCd5 after structural relaxation (PBE).

Cell: 9.6621 9.6621 8.5576 Å, 90.00 90.00 143.13°
Element x y z (fractional)
Ba1 0.0000 0.0000 0.2369
Ba2 0.0000 0.0000 0.7631
Ba3 0.3284 0.6716 0.2440
Ba4 0.3284 0.6716 0.7560
Ba5 0.6716 0.3284 0.2440
Ba6 0.6716 0.3284 0.7560
Na1 0.5000 0.5000 0.5000
Cd1 0.1620 0.8380 0.5000
Cd2 0.1648 0.8352 0.0000
Cd3 0.5000 0.5000 0.0000
Cd4 0.8352 0.1648 0.0000
Cd5 0.8380 0.1620 0.5000

The space group is Cmmm (65). The calculation puts the total magnetic moment at 0.0 μB per cell. The formation energy from the elements comes out at -312 kJ/mol of formula units.